Computed, not measured: TiZn2Cu2 after structural relaxation at the PBE-GGA level of DFT.

Cell: 7.2778 7.2778 2.6270 Å, 90.00 90.00 90.00°
With the nearest neighbours (Å) after each atom.
Fractional coordinates of all 10 atoms:
Ti 0.0000 0.0000 0.0000  2 Ti 2.63, 4 Zn 2.87
Zn 0.6258 0.1258 0.0000  6 Cu 2.45-2.56, 3 Zn 2.59-2.63
Cu 0.8271 0.3271 0.5000  6 Zn 2.45-2.56, 2 Cu 2.63
Zn 0.3742 0.8742 0.0000  6 Cu 2.45-2.56, 3 Zn 2.59-2.63
Cu 0.1729 0.6729 0.5000  6 Zn 2.45-2.56, 2 Cu 2.63
Ti 0.5000 0.5000 0.0000  2 Ti 2.63, 4 Zn 2.87
Cu 0.6729 0.8271 0.5000  6 Zn 2.45-2.56, 2 Cu 2.63
Zn 0.1258 0.3742 0.0000  6 Cu 2.45-2.56, 3 Zn 2.59-2.63
Zn 0.8742 0.6258 0.0000  6 Cu 2.45-2.56, 3 Zn 2.59-2.63
Cu 0.3271 0.1729 0.5000  6 Zn 2.45-2.56, 2 Cu 2.63

- offset from the most stable computed form (eV/atom) = 0.0489
- calculated formation energy (eV per atom) = -0.043
- space-group type = P4/mbm, No. 127
- density of states at the Fermi level (states/eV/cell) = 6.30